# RbHgTe2

Crystalline RbHgTe2 at its relaxed geometry (PBE, the Alexandria database). Values from VASP.

Results
The calculation puts the uncorrected formation energy at -0.29 eV per atom. For the total DFT energy (no corrections), the calculation gives -8.7 eV per formula unit. The calculation puts the total magnetic moment at 0.000 μB per atom.

Structure (Quantum ESPRESSO input):
```
&SYSTEM
  ibrav = 0, nat = 4, ntyp = 3
/
ATOMIC_SPECIES
Rb 85.47 Rb.upf
Hg 200.59 Hg.upf
Te 127.60 Te.upf
CELL_PARAMETERS angstrom
3.292 1.901 6.087
-3.292 1.901 6.087
0.000 -3.801 6.087
ATOMIC_POSITIONS crystal
Rb 0.000 0.000 0.000
Hg 0.500 0.500 0.500
Te 0.355 0.355 0.355
Te 0.645 0.645 0.645
```

# La3Tb6Sm2Ho

Crystalline La3Tb6Sm2Ho at its relaxed geometry (PBE, the Alexandria database). Values from VASP.

Results
Its energy of formation is 0.017 eV/atom. For the total DFT energy (no corrections), the calculation gives -56.4 eV per formula unit. The calculation puts the total magnetic moment at 0.000 μB per atom.

Structure (Quantum ESPRESSO input):
```
&SYSTEM
  ibrav = 0, nat = 12, ntyp = 4
/
ATOMIC_SPECIES
La 138.91 La.upf
Tb 158.93 Tb.upf
Sm 150.36 Sm.upf
Ho 164.93 Ho.upf
CELL_PARAMETERS angstrom
3.135 -5.433 0.000
3.135 5.433 0.000
-2.092 0.000 11.753
ATOMIC_POSITIONS crystal
La 0.000 0.000 0.000
La 0.333 0.667 0.000
La 0.667 0.333 0.000
Tb 0.086 0.418 0.254
Tb 0.249 0.249 0.746
Tb 0.418 0.086 0.254
Tb 0.582 0.914 0.746
Tb 0.751 0.751 0.254
Tb 0.914 0.582 0.746
Sm 0.167 0.833 0.500
Sm 0.833 0.167 0.500
Ho 0.500 0.500 0.500
```

# CoAs2Rh

Crystalline CoAs2Rh at its relaxed geometry (PBE, the Alexandria database). Values from VASP.

Results
Its energy of formation is -0.002 eV/atom. For the total DFT energy (no corrections), the calculation gives -23.8 eV per formula unit. The calculation puts the total magnetic moment at 0.367 μB per atom.

Structure (Quantum ESPRESSO input):
```
&SYSTEM
  ibrav = 0, nat = 4, ntyp = 3
/
ATOMIC_SPECIES
Co 58.93 Co.upf
As 74.92 As.upf
Rh 102.91 Rh.upf
CELL_PARAMETERS angstrom
4.285 0.000 0.000
0.000 4.285 0.000
0.000 0.000 3.162
ATOMIC_POSITIONS crystal
Co 0.000 0.000 0.000
As 0.000 0.500 0.500
As 0.500 0.000 0.500
Rh 0.500 0.500 0.000
```

# Al2CdHg

Crystalline Al2CdHg at its relaxed geometry (PBE, the Alexandria database). Values from VASP.

Results
Its energy of formation is 0.175 eV/atom. For the total DFT energy (no corrections), the calculation gives -8.0 eV per formula unit. The calculation puts the total magnetic moment at 0.000 μB per atom.

Structure (Quantum ESPRESSO input):
```
&SYSTEM
  ibrav = 0, nat = 4, ntyp = 3
/
ATOMIC_SPECIES
Al 26.98 Al.upf
Cd 112.41 Cd.upf
Hg 200.59 Hg.upf
CELL_PARAMETERS angstrom
1.688 -2.481 0.000
1.688 2.481 0.000
0.000 0.000 9.970
ATOMIC_POSITIONS crystal
Al 0.000 0.000 0.000
Al 0.500 0.500 0.220
Cd 0.500 0.500 0.749
Hg 0.000 0.000 0.471
```

# La2BeGe3Pt12

Crystalline La2BeGe3Pt12 at its relaxed geometry (PBE, the Alexandria database). Values from VASP.

Results
Its energy of formation is -0.525 eV/atom. For the total DFT energy (no corrections), the calculation gives -109.4 eV per formula unit. The calculation puts the total magnetic moment at 0.000 μB per atom.

Structure (Quantum ESPRESSO input):
```
&SYSTEM
  ibrav = 0, nat = 18, ntyp = 4
/
ATOMIC_SPECIES
La 138.91 La.upf
Be 9.01 Be.upf
Ge 72.64 Ge.upf
Pt 195.08 Pt.upf
CELL_PARAMETERS angstrom
3.511 2.027 7.893
-3.511 2.027 7.893
0.000 -4.054 7.893
ATOMIC_POSITIONS crystal
La 0.158 0.158 0.158
La 0.842 0.842 0.842
Be 0.500 0.500 0.500
Ge 0.000 0.500 0.500
Ge 0.500 0.000 0.500
Ge 0.500 0.500 0.000
Pt 0.088 0.088 0.681
Pt 0.088 0.681 0.088
Pt 0.166 0.576 0.576
Pt 0.319 0.912 0.912
Pt 0.424 0.424 0.834
Pt 0.424 0.834 0.424
Pt 0.576 0.166 0.576
Pt 0.576 0.576 0.166
Pt 0.681 0.088 0.088
Pt 0.834 0.424 0.424
Pt 0.912 0.319 0.912
Pt 0.912 0.912 0.319
```

# TmScZn17

Crystalline TmScZn17 at its relaxed geometry (PBE, the Alexandria database). Values from VASP.

Results
Its energy of formation is -0.189 eV/atom. For the total DFT energy (no corrections), the calculation gives -36.1 eV per formula unit. The calculation puts the total magnetic moment at 0.000 μB per atom.

Structure (Quantum ESPRESSO input):
```
&SYSTEM
  ibrav = 0, nat = 19, ntyp = 3
/
ATOMIC_SPECIES
Tm 168.93 Tm.upf
Sc 44.96 Sc.upf
Zn 65.41 Zn.upf
CELL_PARAMETERS angstrom
4.444 2.565 4.366
-4.444 2.565 4.366
0.000 -5.131 4.366
ATOMIC_POSITIONS crystal
Tm 0.000 0.000 0.000
Sc 0.333 0.333 0.333
Zn 0.022 0.022 0.497
Zn 0.022 0.497 0.022
Zn 0.162 0.669 0.669
Zn 0.313 0.313 0.822
Zn 0.313 0.822 0.313
Zn 0.366 0.663 0.967
Zn 0.366 0.967 0.663
Zn 0.497 0.022 0.022
Zn 0.563 0.563 0.563
Zn 0.663 0.366 0.967
Zn 0.663 0.967 0.366
Zn 0.669 0.162 0.669
Zn 0.669 0.669 0.162
Zn 0.764 0.764 0.764
Zn 0.822 0.313 0.313
Zn 0.967 0.366 0.663
Zn 0.967 0.663 0.366
```

# ZnIn2Ga2

Crystalline ZnIn2Ga2 at its relaxed geometry (PBE, the Alexandria database). Values from VASP.

Results
Its energy of formation is 0.127 eV/atom. For the total DFT energy (no corrections), the calculation gives -12.2 eV per formula unit. The calculation puts the total magnetic moment at 0.000 μB per atom.

Structure (Quantum ESPRESSO input):
```
&SYSTEM
  ibrav = 0, nat = 5, ntyp = 3
/
ATOMIC_SPECIES
Zn 65.41 Zn.upf
In 114.82 In.upf
Ga 69.72 Ga.upf
CELL_PARAMETERS angstrom
-1.850 1.850 8.404
1.850 -1.850 8.404
1.850 1.850 -8.404
ATOMIC_POSITIONS crystal
Zn 0.000 0.000 0.000
In 0.404 0.404 0.000
In 0.596 0.596 0.000
Ga 0.250 0.750 0.500
Ga 0.750 0.250 0.500
```

# Ga6OsRh3

Crystalline Ga6OsRh3 at its relaxed geometry (PBE, the Alexandria database). Values from VASP.

Results
Its energy of formation is -0.228 eV/atom. For the total DFT energy (no corrections), the calculation gives -53.7 eV per formula unit. The calculation puts the total magnetic moment at 0.000 μB per atom.

Structure (Quantum ESPRESSO input):
```
&SYSTEM
  ibrav = 0, nat = 20, ntyp = 3
/
ATOMIC_SPECIES
Ga 69.72 Ga.upf
Os 190.23 Os.upf
Rh 102.91 Rh.upf
CELL_PARAMETERS angstrom
6.113 0.000 0.000
0.000 6.791 0.000
-5.904 0.000 7.777
ATOMIC_POSITIONS crystal
Ga 0.019 0.062 0.254
Ga 0.019 0.438 0.754
Ga 0.198 0.664 0.059
Ga 0.198 0.836 0.559
Ga 0.429 0.156 0.063
Ga 0.429 0.344 0.563
Ga 0.571 0.656 0.437
Ga 0.571 0.844 0.937
Ga 0.802 0.164 0.441
Ga 0.802 0.336 0.941
Ga 0.981 0.562 0.246
Ga 0.981 0.938 0.746
Os 0.500 0.000 0.500
Os 0.500 0.500 0.000
Rh 0.000 0.000 0.000
Rh 0.000 0.500 0.500
Rh 0.318 0.154 0.746
Rh 0.318 0.346 0.246
Rh 0.682 0.654 0.754
Rh 0.682 0.846 0.254
```